(1)
The following is a GGA-PBE calculation of an optimized crystal structure of Cs2NpCl2F4, from Alexandria.

Output
The volume is 525 Å³ per cell. As for the crystal system: tetragonal. The calculation puts the uncorrected formation energy at -2787 meV/atom. For the spin magnetization, the calculation gives 6.0 Bohr magnetons per cell. The value obtained for the density of states at the Fermi level is 15.5 states/eV/cell.

Lattice parameters (Å, degrees): 7.2517 7.2517 9.9843 90.00 90.00 90.00
Last column: nearest neighbours and their distance in Å.
Space group I4/mmm (No. 139)
Inequivalent atoms, fractional coordinates:
Cs  0.0000  0.5000  0.2500 x4  8 F 3.60, 4 Cl 3.63
Np  0.0000  0.0000  0.0000 x2  4 F 2.13
Cl  0.0000  0.0000  0.2688 x4  1 Np 2.68
F  0.2073  0.2073  0.0000 x8  1 Np 2.13

---

(2)
The following is a GGA-PBE calculation of an optimized crystal structure of Cs5Cl2OF, from Alexandria.

Output
The volume is 1393 Å³ per cell. As for the crystal system: orthorhombic. The calculation puts the uncorrected formation energy at -1776 meV/atom. For the spin magnetization, the calculation gives 0.5 Bohr magnetons per cell.

Lattice parameters (Å, degrees): 4.5815 20.0677 15.1497 90.00 90.00 90.00
Last column: nearest neighbours and their distance in Å.
Space group Cmc2_1 (No. 36)
Inequivalent atoms, fractional coordinates:
Cs  0.0000  0.0035  0.0000 x4  1 F 2.75
Cs  0.0000  0.1372  0.7101 x4  1 O 2.80
Cs  0.0000  0.2042  0.1189 x4  1 F 2.97, 2 O 2.97
Cs  0.0000  0.2338  0.3698 x4  2 O 3.02
Cs  0.0000  0.4197  0.7712 x4  2 F 2.83, 1 O 2.94
Cl  0.0000  0.3708  0.0149 x4  8 Cs 3.52-3.82
Cl  0.0000  0.4079  0.3782 x4  6 Cs 3.44-3.82
O  0.0000  0.2750  0.7405 x4  6 Cs 2.80-3.02
F  0.0000  0.0604  0.1649 x4  4 Cs 2.75-2.97

---

(3)
The following is a GGA-PBE calculation of an optimized crystal structure of Cs6Cl2OF2, from Alexandria.

Output
The volume is 837 Å³ per cell. As for the crystal system: monoclinic. The calculation puts the uncorrected formation energy at -1930 meV/atom. For the spin magnetization, the calculation gives 0.3 Bohr magnetons per cell.

Lattice parameters (Å, degrees): 7.6879 13.4912 8.4683 90.00 107.73 90.00
Last column: nearest neighbours and their distance in Å.
Space group C2/m (No. 12)
Inequivalent atoms, fractional coordinates:
Cs  0.2266  0.1657  0.2034 x8  2 F 3.01-3.10, 1 O 3.03
Cs  0.2376  0.0000  0.8087 x4  1 O 2.79
Cl  0.0000  0.1666  0.5000 x4  6 Cs 3.47-3.55
O  0.0000  0.0000  0.0000 x2  6 Cs 2.79-3.03
F  0.0000  0.3296  0.0000 x4  6 Cs 3.01-3.16

---

(4)
The following is a GGA-PBE calculation of an optimized crystal structure of Cs2ClOF6, from Alexandria.

Output
The volume is 390 Å³ per cell. As for the crystal system: tetragonal. The calculation puts the uncorrected formation energy at -1213 meV/atom. For the spin magnetization, the calculation gives 2.1 Bohr magnetons per cell. The value obtained for the density of states at the Fermi level is 17.0 states/eV/cell.

Lattice parameters (Å, degrees): 6.4668 6.4668 9.3324 90.00 90.00 90.00
Last column: nearest neighbours and their distance in Å.
Space group I4/mmm (No. 139)
Inequivalent atoms, fractional coordinates:
Cs  0.0000  0.5000  0.2500 x4  12 F 3.27-3.31
Cl  0.0000  0.0000  0.0000 x2  2 F 1.83
O  0.0000  0.0000  0.5000 x2  4 F 1.76
F  0.0000  0.0000  0.1957 x4  1 Cl 1.83
F  0.1924  0.1924  0.5000 x8  1 O 1.76

---

(5)
The following is a GGA-PBE calculation of an optimized crystal structure of Cs7ClO2F2, from Alexandria.

Output
The volume is 939 Å³ per cell. As for the crystal system: monoclinic. The calculation puts the uncorrected formation energy at -1601 meV/atom. For the spin magnetization, the calculation gives 0.2 Bohr magnetons per cell. The value obtained for the density of states at the Fermi level is 0.0 states/eV/cell.

Lattice parameters (Å, degrees): 8.4676 8.2567 13.9613 90.00 105.87 90.00
Last column: nearest neighbours and their distance in Å.
Space group C2/m (No. 12)
Inequivalent atoms, fractional coordinates:
Cs  0.0000  0.0000  0.0000 x2  2 O 2.97
Cs  0.1185  0.2700  0.7931 x8  1 O 2.80, 1 F 2.97
Cs  0.2395  0.0000  0.4234 x4  1 O 2.77, 2 F 2.87-3.00
Cl  0.0000  0.5000  0.0000 x2  8 Cs 3.81-4.23
O  0.0861  0.0000  0.2207 x4  4 Cs 2.77-2.97
F  0.0408  0.5000  0.3674 x4  4 Cs 2.87-3.00

---

(6)
The following is a GGA-PBE calculation of an optimized crystal structure of Cs8Cl3OF3, from Alexandria.

Output
The volume is 1683 Å³ per cell. As for the crystal system: trigonal. The calculation puts the uncorrected formation energy at -2032 meV/atom. For the spin magnetization, the calculation gives 0.4 Bohr magnetons per cell.

Lattice parameters (Å, degrees): 9.0130 9.0130 23.9137 90.00 90.00 120.00
Last column: nearest neighbours and their distance in Å.
Space group R-3m (No. 166, hexagonal axes)
Inequivalent atoms, fractional coordinates:
Cs  0.0000  0.0000  0.2377 x6  3 F 3.11, 3 Cl 3.46
Cs  0.0202  0.5101  0.2334 x18  1 O 2.92, 2 F 3.12
Cl  0.0000  0.5000  0.0000 x9  6 Cs 3.46-3.48
O  0.0000  0.0000  0.5000 x3  6 Cs 2.92
F  0.0000  0.5000  0.5000 x9  6 Cs 3.11-3.12

---

(7)
The following is a GGA-PBE calculation of an optimized crystal structure of Cs2OsCl2F4, from Alexandria.

Output
The volume is 454 Å³ per cell. As for the crystal system: tetragonal. The calculation puts the uncorrected formation energy at -1923 meV/atom. For the spin magnetization, the calculation gives 4.0 Bohr magnetons per cell. The value obtained for the density of states at the Fermi level is 13.2 states/eV/cell.

Lattice parameters (Å, degrees): 7.1317 7.1317 8.9222 90.00 90.00 90.00
Last column: nearest neighbours and their distance in Å.
Space group I4/mmm (No. 139)
Inequivalent atoms, fractional coordinates:
Cs  0.0000  0.5000  0.2500 x4  8 F 3.41, 4 Cl 3.57
Os  0.0000  0.0000  0.0000 x2  4 F 1.97
Cl  0.0000  0.0000  0.2636 x4  1 Os 2.35
F  0.1958  0.1958  0.0000 x8  1 Os 1.97

---

(8)
The following is a GGA-PBE calculation of an optimized crystal structure of Cs2OsClF6, from Alexandria.

Output
The volume is 989 Å³ per cell. As for the crystal system: cubic. The calculation puts the uncorrected formation energy at -2015 meV/atom. For the spin magnetization, the calculation gives 12.4 Bohr magnetons per cell. The value obtained for the density of states at the Fermi level is 33.5 states/eV/cell.

Lattice parameters (Å, degrees): 9.9626 9.9626 9.9626 90.00 90.00 90.00
Last column: nearest neighbours and their distance in Å.
Space group Fm-3m (No. 225)
Inequivalent atoms, fractional coordinates:
Cs  0.2500  0.2500  0.2500 x8  12 F 3.57
Os  0.0000  0.0000  0.0000 x4  6 F 1.93
Cl  0.0000  0.0000  0.5000 x4  6 F 3.06
F  0.0000  0.0000  0.1933 x24  1 Os 1.93

---

(9)
The following is a GGA-PBE calculation of an optimized crystal structure of Cs2OsCl5F, from Alexandria.

Output
The volume is 573 Å³ per cell. As for the crystal system: tetragonal. The calculation puts the uncorrected formation energy at -1391 meV/atom. For the spin magnetization, the calculation gives 4.0 Bohr magnetons per cell. The value obtained for the density of states at the Fermi level is 7.0 states/eV/cell.

Lattice parameters (Å, degrees): 7.5010 7.5010 10.1757 90.00 90.00 90.00
Last column: nearest neighbours and their distance in Å.
Space group I4mm (No. 107)
Inequivalent atoms, fractional coordinates:
Cs  0.0000  0.5000  0.0000 x4  10 Cl 3.68-3.76, 2 F 3.80
Os  0.0000  0.0000  0.2540 x2  1 F 1.95
Cl  0.0000  0.0000  0.4813 x2  1 Os 2.31
Cl  0.2235  0.2235  0.2492 x8  1 Os 2.37
F  0.0000  0.0000  0.0622 x2  1 Os 1.95

---

(10)
The following is a GGA-PBE calculation of an optimized crystal structure of Cs2OsCl4F2, from Alexandria.

Output
The volume is 519 Å³ per cell. As for the crystal system: monoclinic. The calculation puts the uncorrected formation energy at -1556 meV/atom. For the spin magnetization, the calculation gives 4.0 Bohr magnetons per cell. The value obtained for the density of states at the Fermi level is 0.4 states/eV/cell.

Lattice parameters (Å, degrees): 11.9416 7.3438 6.0302 90.00 101.22 90.00
Last column: nearest neighbours and their distance in Å.
Space group C2/m (No. 12)
Inequivalent atoms, fractional coordinates:
Cs  0.1699  0.0000  0.3165 x4  1 F 3.18
Os  0.0000  0.5000  0.0000 x2  2 F 1.94
Cl  0.0874  0.2701  0.8164 x8  1 Os 2.37
F  0.1318  0.5000  0.2462 x4  1 Os 1.94

---

(11)
The following is a GGA-PBE calculation of an optimized crystal structure of CsP2ClF, from Alexandria.

Output
The volume is 194 Å³ per cell. As for the crystal system: tetragonal. The calculation puts the uncorrected formation energy at 1185 meV/atom. For the spin magnetization, the calculation gives 4.9 Bohr magnetons per cell. The value obtained for the density of states at the Fermi level is 10.4 states/eV/cell.

Lattice parameters (Å, degrees): 5.7884 5.7884 5.8038 90.00 90.00 90.00
Last column: nearest neighbours and their distance in Å.
Space group P4/mmm (No. 123)
Inequivalent atoms, fractional coordinates:
Cs  0.0000  0.0000  0.0000 x1  4 P 2.89, 2 Cl 2.90
P  0.0000  0.5000  0.0000 x2  2 Cs 2.89
Cl  0.0000  0.0000  0.5000 x1  2 Cs 2.90
F  0.5000  0.5000  0.5000 x1  4 Cl 4.09, 8 P 4.10